1.
# ScMnRe2I, optimized geometry, DFT GGA-PBE
data_ScMnRe2I
_symmetry_space_group_name_H-M 'P 4/m m m'
_symmetry_Int_Tables_number 123
_symmetry_space_group_name_Hall '-P 4 2'
_cell_length_a 4.858
_cell_length_b 4.858
_cell_length_c 4.626
_cell_angle_alpha 90.00
_cell_angle_beta 90.00
_cell_angle_gamma 90.00
loop_
_atom_site_label
_atom_site_type_symbol
_atom_site_fract_x
_atom_site_fract_y
_atom_site_fract_z
Sc1 Sc 0.000 0.000 0.000
Mn1 Mn 0.500 0.500 0.000
Re1 Re 0.000 0.500 0.500
I1 I 0.500 0.500 0.500
# Raw formation energy ... 1.861 eV/atom

---

2.
# Mn2ReSeI, optimized geometry, DFT GGA-PBE
data_Mn2ReSeI
_symmetry_space_group_name_H-M 'P 4/m m m'
_symmetry_Int_Tables_number 123
_symmetry_space_group_name_Hall '-P 4 2'
_cell_length_a 4.916
_cell_length_b 4.916
_cell_length_c 5.001
_cell_angle_alpha 90.00
_cell_angle_beta 90.00
_cell_angle_gamma 90.00
loop_
_atom_site_label
_atom_site_type_symbol
_atom_site_fract_x
_atom_site_fract_y
_atom_site_fract_z
Mn1 Mn 0.000 0.500 0.000
Re1 Re 0.000 0.000 0.500
Se1 Se 0.500 0.500 0.500
I1 I 0.000 0.000 0.000
# Raw formation energy ... 1.831 eV/atom

---

3.
# MnReTeI2, optimized geometry, DFT GGA-PBE
data_MnReTeI2
_symmetry_space_group_name_H-M 'P 4/m m m'
_symmetry_Int_Tables_number 123
_symmetry_space_group_name_Hall '-P 4 2'
_cell_length_a 5.638
_cell_length_b 5.638
_cell_length_c 5.098
_cell_angle_alpha 90.00
_cell_angle_beta 90.00
_cell_angle_gamma 90.00
loop_
_atom_site_label
_atom_site_type_symbol
_atom_site_fract_x
_atom_site_fract_y
_atom_site_fract_z
Mn1 Mn 0.000 0.000 0.000
Re1 Re 0.500 0.500 0.500
Te1 Te 0.500 0.500 0.000
I1 I 0.000 0.500 0.500
# Raw formation energy ... 0.959 eV/atom

---

4.
# MnReTe2I, optimized geometry, DFT GGA-PBE
data_MnReTe2I
_symmetry_space_group_name_H-M 'P 4/m m m'
_symmetry_Int_Tables_number 123
_symmetry_space_group_name_Hall '-P 4 2'
_cell_length_a 5.175
_cell_length_b 5.175
_cell_length_c 5.797
_cell_angle_alpha 90.00
_cell_angle_beta 90.00
_cell_angle_gamma 90.00
loop_
_atom_site_label
_atom_site_type_symbol
_atom_site_fract_x
_atom_site_fract_y
_atom_site_fract_z
Mn1 Mn 0.000 0.000 0.000
Re1 Re 0.500 0.500 0.500
Te1 Te 0.000 0.500 0.500
I1 I 0.500 0.500 0.000
# Raw formation energy ... 0.937 eV/atom

---

5.
# TiMnReI2, optimized geometry, DFT GGA-PBE
data_TiMnReI2
_symmetry_space_group_name_H-M 'P 4/m m m'
_symmetry_Int_Tables_number 123
_symmetry_space_group_name_Hall '-P 4 2'
_cell_length_a 5.202
_cell_length_b 5.202
_cell_length_c 4.440
_cell_angle_alpha 90.00
_cell_angle_beta 90.00
_cell_angle_gamma 90.00
loop_
_atom_site_label
_atom_site_type_symbol
_atom_site_fract_x
_atom_site_fract_y
_atom_site_fract_z
Ti1 Ti 0.000 0.000 0.000
Mn1 Mn 0.000 0.000 0.500
Re1 Re 0.500 0.500 0.500
I1 I 0.000 0.500 0.000
# Raw formation energy ... 1.806 eV/atom

---

6.
# Ti2MnReI, optimized geometry, DFT GGA-PBE
data_Ti2MnReI
_symmetry_space_group_name_H-M 'P 4/m m m'
_symmetry_Int_Tables_number 123
_symmetry_space_group_name_Hall '-P 4 2'
_cell_length_a 4.725
_cell_length_b 4.725
_cell_length_c 5.347
_cell_angle_alpha 90.00
_cell_angle_beta 90.00
_cell_angle_gamma 90.00
loop_
_atom_site_label
_atom_site_type_symbol
_atom_site_fract_x
_atom_site_fract_y
_atom_site_fract_z
Ti1 Ti 0.000 0.500 0.000
Mn1 Mn 0.000 0.000 0.500
Re1 Re 0.500 0.500 0.000
I1 I 0.500 0.500 0.500
# Raw formation energy ... 1.638 eV/atom

---

7.
# MnV2ReI, optimized geometry, DFT GGA-PBE
data_MnV2ReI
_symmetry_space_group_name_H-M 'P 4/m m m'
_symmetry_Int_Tables_number 123
_symmetry_space_group_name_Hall '-P 4 2'
_cell_length_a 4.792
_cell_length_b 4.792
_cell_length_c 4.876
_cell_angle_alpha 90.00
_cell_angle_beta 90.00
_cell_angle_gamma 90.00
loop_
_atom_site_label
_atom_site_type_symbol
_atom_site_fract_x
_atom_site_fract_y
_atom_site_fract_z
Mn1 Mn 0.000 0.000 0.000
V1 V 0.000 0.500 0.500
Re1 Re 0.000 0.000 0.500
I1 I 0.500 0.500 0.000
# Raw formation energy ... 1.224 eV/atom

---

8.
# MnRhI3, optimized geometry, DFT GGA-PBE
data_MnRhI3
_symmetry_space_group_name_H-M 'P m -3 m'
_symmetry_Int_Tables_number 221
_symmetry_space_group_name_Hall '-P 4 2 3'
_cell_length_a 5.580
_cell_length_b 5.580
_cell_length_c 5.580
_cell_angle_alpha 90.00
_cell_angle_beta 90.00
_cell_angle_gamma 90.00
loop_
_atom_site_label
_atom_site_type_symbol
_atom_site_fract_x
_atom_site_fract_y
_atom_site_fract_z
Mn1 Mn 0.000 0.000 0.000
Rh1 Rh 0.500 0.500 0.500
I1 I 0.000 0.000 0.500
# Raw formation energy ... 0.655 eV/atom